A relaxed CeNdSmHo crystal, computed with PBE.

Formation energy in eV per formula unit: 0.79

Cell: 8.1108 8.1108 8.1108 Å, 90.00 90.00 90.00°
With the nearest neighbours (Å) after each atom.
Space group F-43m (No. 216)
Symmetry-distinct sites (fractional):
Ce: 0.0000 0.0000 0.0000 x4  4 Sm 3.51, 4 Nd 3.51
Nd: 0.2500 0.2500 0.2500 x4  4 Ce 3.51, 4 Ho 3.51
Sm: 0.2500 0.2500 0.7500 x4  4 Ce 3.51, 4 Ho 3.51
Ho: 0.0000 0.0000 0.5000 x4  4 Nd 3.51, 4 Sm 3.51

---

A relaxed AcTlAuSe crystal, computed with PBE.

Formation energy without anion corrections in eV/atom: -0.84

Cell: 7.5877 7.5877 7.5877 Å, 90.00 90.00 90.00°
With the nearest neighbours (Å) after each atom.
Space group F-43m (No. 216)
Symmetry-distinct sites (fractional):
Ac: 0.0000 0.0000 0.0000 x4  4 Se 3.29, 4 Au 3.29
Tl: 0.0000 0.0000 0.5000 x4  4 Au 3.29, 4 Se 3.29
Au: 0.2500 0.2500 0.7500 x4  4 Ac 3.29, 4 Tl 3.29
Se: 0.2500 0.2500 0.2500 x4  4 Ac 3.29, 4 Tl 3.29

---

A relaxed DyPuZnCu crystal, computed with PBE.

Formation energy in eV per formula unit: -0.32

Cell: 7.0531 7.0531 7.0531 Å, 90.00 90.00 90.00°
With the nearest neighbours (Å) after each atom.
Space group F-43m (No. 216)
Symmetry-distinct sites (fractional):
Dy: 0.0000 0.0000 0.0000 x4  4 Cu 3.05, 4 Zn 3.05
Pu: 0.0000 0.0000 0.5000 x4  4 Zn 3.05, 4 Cu 3.05
Zn: 0.2500 0.2500 0.2500 x4  4 Dy 3.05, 4 Pu 3.05
Cu: 0.2500 0.2500 0.7500 x4  4 Dy 3.05, 4 Pu 3.05

---

A relaxed CaGa8Pd2 crystal, computed with PBE.

Formation energy in eV per formula unit: -1.34

Cell: 5.5525 5.5525 8.4647 Å, 90.00 90.00 90.00°
With the nearest neighbours (Å) after each atom.
Space group P4/mmm (No. 123)
Symmetry-distinct sites (fractional):
Ca: 0.0000 0.0000 0.0000 x1  8 Ga 3.18
Ga: 0.2535 0.2535 0.2935 x8  2 Pd 2.63, 4 Ga 2.74-2.82
Pd: 0.0000 0.5000 0.5000 x2  8 Ga 2.63

---

A relaxed In4GaAg crystal, computed with PBE.

Formation energy in eV per formula unit: 0.23

Cell: 7.0671 7.0671 11.7779 Å, 90.00 90.00 90.00°
With the nearest neighbours (Å) after each atom.
Space group I4/mcm (No. 140)
Symmetry-distinct sites (fractional):
In: 0.1549 0.3451 0.1318 x16  2 Ga 3.01, 2 Ag 3.09, 3 In 3.10-3.37
Ga: 0.0000 0.0000 0.2500 x4  2 Ag 2.94, 8 In 3.01
Ag: 0.0000 0.0000 0.0000 x4  2 Ga 2.94, 8 In 3.09

---

A relaxed UCuTe2O8 crystal, computed with PBE.

Formation energy without anion corrections in eV/atom: -1.56

Cell: 5.2711 5.5595 6.4432 Å, 87.20 84.54 84.35°
With the nearest neighbours (Å) after each atom.
Space group P-1 (No. 2)
Symmetry-distinct sites (fractional):
U: 0.0000 0.0000 0.0000 x1  4 O 1.98-2.05
Cu: 0.0000 0.0000 0.5000 x1  4 O 2.00-2.06
Te: 0.4995 0.5528 0.2609 x2  4 O 1.91-2.13
O: 0.1470 0.8282 0.7474 x2  1 U 1.98, 1 Cu 2.00
O: 0.2241 0.8151 0.2700 x2  1 Te 1.95, 1 Cu 2.06
O: 0.2642 0.2466 0.9410 x2  1 U 2.05, 1 Te 2.08
O: 0.3221 0.3531 0.5158 x2  2 Te 1.91-2.13

---

A relaxed In3WC crystal, computed with PBE.

Relative energy among the computed polymorphs in meV/atom: 0
Formation energy in eV per formula unit: 7.72

Cell: 4.5859 4.5859 4.5859 Å, 90.00 90.00 90.00°
With the nearest neighbours (Å) after each atom.
Space group Pm-3m (No. 221)
Symmetry-distinct sites (fractional):
In: 0.0000 0.0000 0.5000 x3  2 C 2.29
W: 0.5000 0.5000 0.5000 x1  12 In 3.24
C: 0.0000 0.0000 0.0000 x1  6 In 2.29

---

A relaxed Lu2Te3 crystal, computed with PBE.

Formation energy without anion corrections in eV/atom: -0.58

Cell: 6.1843 17.6251 5.9094 Å, 90.00 90.00 90.00°
With the nearest neighbours (Å) after each atom.
Space group Cmcm (No. 63)
Symmetry-distinct sites (fractional):
Lu: 0.0000 0.0456 0.2500 x4  2 Te 2.97
Lu: 0.0000 0.3403 0.2500 x4  8 Te 3.10-3.36
Te: 0.0000 0.5000 0.0000 x4  2 Te 2.95, 2 Lu 3.18
Te: 0.2456 0.3114 0.7500 x8  2 Lu 2.97-3.10, 2 Te 3.04-3.15

---

A relaxed PuNp2Ru3 crystal, computed with PBE.

Formation energy in eV per formula unit: 0.72

Cell: 8.3970 9.7862 5.6340 Å, 90.00 90.00 90.00°
With the nearest neighbours (Å) after each atom.
Space group Imma (No. 74)
Symmetry-distinct sites (fractional):
Pu: 0.0000 0.2500 0.2237 x4  4 Np 3.10-3.21, 6 Ru 3.26-3.40
Np: 0.0000 0.0735 0.6801 x8  1 Np 2.49, 6 Ru 2.62-2.75
Ru: 0.2091 0.0000 0.0000 x8  4 Np 2.62-2.74, 4 Ru 2.84-2.90
Ru: 0.2500 0.2500 0.7500 x4  4 Np 2.75, 4 Ru 2.84

---

A relaxed YB2Rh crystal, computed with PBE.

Relative energy among the computed polymorphs in meV/atom: 413
Formation energy in eV per formula unit: 0.43

Cell: 5.8814 5.8814 5.8814 Å, 90.00 90.00 90.00°
With the nearest neighbours (Å) after each atom.
Space group Fm-3m (No. 225)
Symmetry-distinct sites (fractional):
Y: 0.0000 0.0000 0.0000 x4  8 B 2.55
B: 0.2500 0.2500 0.2500 x8  4 Rh 2.55, 4 Y 2.55
Rh: 0.0000 0.0000 0.5000 x4  8 B 2.55

---

A relaxed FeSn3H crystal, computed with PBE.

Relative energy among the computed polymorphs in meV/atom: 0

Cell: 4.8721 4.8721 4.8721 Å, 90.00 90.00 90.00°
With the nearest neighbours (Å) after each atom.
Space group Pm-3m (No. 221)
Symmetry-distinct sites (fractional):
Fe: 0.0000 0.0000 0.0000 x1  6 Sn 2.44
Sn: 0.0000 0.0000 0.5000 x3  2 Fe 2.44
H: 0.5000 0.5000 0.5000 x1  12 Sn 3.45

---

A relaxed Sr2AcIn3 crystal, computed with PBE.

Relative energy among the computed polymorphs in meV/atom: 4
Formation energy in eV per formula unit: -2.56

Cell: 4.0662 4.0662 12.3648 Å, 90.00 90.00 90.00°
With the nearest neighbours (Å) after each atom.
Space group P4/mmm (No. 123)
Symmetry-distinct sites (fractional):
Sr: 0.0000 0.0000 0.1629 x2  8 In 3.51-3.54
Ac: 0.0000 0.0000 0.5000 x1  8 In 3.56
In: 0.5000 0.5000 0.0000 x1  8 Sr 3.51
In: 0.5000 0.5000 0.3302 x2  4 Sr 3.54, 4 Ac 3.56

---

A relaxed La10Co3Sn2 crystal, computed with PBE.

Formation energy in eV per formula unit: -4.42

Cell: 24.9494 7.5095 10.4047 Å, 90.00 111.39 90.00°
With the nearest neighbours (Å) after each atom.
Space group C2/m (No. 12)
Symmetry-distinct sites (fractional):
La: 0.0000 0.2437 0.0000 x4  2 Co 2.84
La: 0.0091 0.0000 0.7240 x4  2 Co 2.67
La: 0.0154 0.5000 0.6798 x4  3 Co 2.79-2.92
La: 0.1138 0.2192 0.5486 x8  2 Co 2.70-2.71
La: 0.1296 0.5000 0.2397 x4  2 Co 2.68-2.77
La: 0.1525 0.2389 0.9761 x8  1 Co 2.69
La: 0.2408 0.5000 0.7995 x4  1 Co 2.71
La: 0.2500 0.2500 0.5000 x4  2 Co 2.67
Co: 0.0000 0.1909 0.5000 x4  6 La 2.67-2.92, 1 Co 2.87
Co: 0.0769 0.5000 0.9643 x4  6 La 2.68-2.84
Co: 0.1781 0.5000 0.5250 x4  6 La 2.67-2.77
Sn: 0.1282 0.0000 0.2465 x4  12 La 3.47-3.76
Sn: 0.2340 0.0000 0.8013 x4  11 La 3.53-3.80

---

A relaxed PrDyPd3 crystal, computed with PBE.

Formation energy in eV per formula unit: -3.96

Cell: 9.2197 5.8548 8.3538 Å, 90.00 101.11 90.00°
With the nearest neighbours (Å) after each atom.
Space group P2_1/c (No. 14)
Symmetry-distinct sites (fractional):
Pr: 0.1145 0.0913 0.2209 x4  6 Pd 2.93-3.23
Dy: 0.4406 0.7239 0.6234 x4  6 Pd 2.82-3.08
Pd: 0.1163 0.6556 0.0360 x4  4 Pd 2.74-2.93, 2 Pr 2.98-3.00, 1 Dy 3.02
Pd: 0.2553 0.5402 0.3452 x4  4 Pd 2.74-2.90, 1 Dy 2.82, 1 Pr 3.03
Pd: 0.3460 0.1973 0.5755 x4  3 Pd 2.80-2.93, 3 Dy 2.85-2.91, 1 Pr 2.93

---

A relaxed AcCuAs2 crystal, computed with PBE.

Relative energy among the computed polymorphs in meV/atom: 674
Formation energy in eV per formula unit: -0.51

Cell: 5.0751 5.0751 20.0194 Å, 90.00 90.00 120.00°
With the nearest neighbours (Å) after each atom.
Space group R-3m (No. 166, hexagonal axes)
Symmetry-distinct sites (fractional):
Ac: 0.0000 0.0000 0.0000 x3  6 As 3.12
Cu: 0.0000 0.0000 0.5000 x3  2 As 2.25
As: 0.0000 0.0000 0.3876 x6  1 Cu 2.25

---

A relaxed CsCaGeB2 crystal, computed with PBE.

Formation energy in eV per formula unit: 6.30

Cell: 4.5661 4.5661 5.4301 Å, 90.00 90.00 90.00°
With the nearest neighbours (Å) after each atom.
Space group P4/mmm (No. 123)
Symmetry-distinct sites (fractional):
Cs: 0.0000 0.0000 0.0000 x1  4 Ca 3.23, 8 B 3.55
Ca: 0.5000 0.5000 0.0000 x1  2 Ge 2.72
Ge: 0.5000 0.5000 0.5000 x1  4 B 2.28
B: 0.0000 0.5000 0.5000 x2  2 Ge 2.28

---

A relaxed TmScCo crystal, computed with PBE.

Relative energy among the computed polymorphs in meV/atom: 50
Formation energy in eV per formula unit: -0.58

Cell: 12.4398 3.2305 6.4400 Å, 90.00 105.50 90.00°
With the nearest neighbours (Å) after each atom.
Space group C2/m (No. 12)
Symmetry-distinct sites (fractional):
Tm: 0.1329 0.0000 0.0702 x4  4 Co 2.83-2.84
Sc: 0.1270 0.0000 0.5628 x4  4 Co 2.69-2.70
Co: 0.0022 0.5000 0.7373 x4  4 Sc 2.69-2.70, 4 Tm 2.83-2.84

---

A relaxed MgOsRh2 crystal, computed with PBE.

Formation energy in eV per formula unit: 0.06

Cell: 2.7575 2.7575 7.8199 Å, 90.00 90.00 90.00°
With the nearest neighbours (Å) after each atom.
Space group P4mm (No. 99)
Symmetry-distinct sites (fractional):
Mg: 0.0000 0.0000 0.0000 x1  4 Mg 2.76, 4 Rh 2.77, 4 Os 2.87
Os: 0.5000 0.5000 0.2698 x1  4 Rh 2.65, 4 Os 2.76, 4 Mg 2.87
Rh: 0.0000 0.0000 0.4989 x1  4 Os 2.65, 8 Rh 2.76
Rh: 0.5000 0.5000 0.7489 x1  8 Rh 2.76, 4 Mg 2.77

---

A relaxed YHg2AsO crystal, computed with PBE.

Formation energy without anion corrections in eV/atom: -0.12

Cell: 4.8298 4.8298 4.5791 Å, 90.00 90.00 90.00°
With the nearest neighbours (Å) after each atom.
Space group P4/mmm (No. 123)
Symmetry-distinct sites (fractional):
Y: 0.0000 0.0000 0.0000 x1  8 Hg 3.33, 4 As 3.42
Hg: 0.0000 0.5000 0.5000 x2  2 O 2.41
As: 0.5000 0.5000 0.0000 x1  2 O 2.29
O: 0.5000 0.5000 0.5000 x1  2 As 2.29, 4 Hg 2.41

---

A relaxed RbHfBe2Ni crystal, computed with PBE.

Formation energy in eV per formula unit: 6.36

Cell: 5.1599 5.1599 4.8738 Å, 90.00 90.00 90.00°
With the nearest neighbours (Å) after each atom.
Space group P4/mmm (No. 123)
Symmetry-distinct sites (fractional):
Rb: 0.0000 0.0000 0.0000 x1  8 Be 3.55, 4 Ni 3.65
Hf: 0.5000 0.5000 0.5000 x1  2 Ni 2.44, 4 Be 2.58
Be: 0.0000 0.5000 0.5000 x2  2 Hf 2.58
Ni: 0.5000 0.5000 0.0000 x1  2 Hf 2.44

---

A relaxed LaNd2YHo5 crystal, computed with PBE.

Formation energy in eV per formula unit: 2.31

Cell: 8.7638 8.7638 15.5473 Å, 90.00 90.00 90.00°
With the nearest neighbours (Å) after each atom.
Space group I4/mcm (No. 140)
Symmetry-distinct sites (fractional):
La: 0.0000 0.0000 0.2500 x4  10 Ho 3.60-3.89
Nd: 0.1169 0.3831 0.0000 x8  1 Nd 2.90, 2 Ho 3.02
Y: 0.0000 0.5000 0.2500 x4  4 Ho 3.15
Ho: 0.0000 0.0000 0.0000 x4  4 Nd 3.51, 8 Ho 3.79, 2 La 3.89
Ho: 0.2101 0.2899 0.3634 x16  1 Nd 3.02, 1 Y 3.15

---

A relaxed Sr2SmInS5 crystal, computed with PBE.

Formation energy without anion corrections in eV/atom: -1.68

Cell: 4.0928 17.4189 12.7260 Å, 90.00 90.00 90.00°
With the nearest neighbours (Å) after each atom.
Space group Cmc2_1 (No. 36)
Symmetry-distinct sites (fractional):
Sr: 0.0000 0.1120 0.0000 x4  8 S 3.03-3.32
Sr: 0.0000 0.1361 0.6194 x4  7 S 3.06-3.26
Sm: 0.0000 0.2143 0.3273 x4  6 S 2.73-2.91
In: 0.0000 0.4692 0.7643 x4  3 S 2.42-2.50
S: 0.0000 0.0507 0.3737 x4  2 In 2.50
S: 0.0000 0.2849 0.9765 x4  2 Sm 2.79, 3 Sr 3.03-3.06
S: 0.0000 0.3175 0.6816 x4  2 Sm 2.82, 1 In 2.84
S: 0.0000 0.3705 0.3130 x4  1 Sm 2.73, 1 In 2.86
S: 0.0000 0.4924 0.0814 x4  1 In 2.42

---

A relaxed Pm2BeGe2 crystal, computed with PBE.

Relative energy among the computed polymorphs in meV/atom: 86
Formation energy in eV per formula unit: -3.00

Cell: 4.1207 15.5603 7.2541 Å, 90.00 90.00 90.00°
With the nearest neighbours (Å) after each atom.
Space group Cmc2_1 (No. 36)
Symmetry-distinct sites (fractional):
Pm: 0.0000 0.0308 0.0000 x4  5 Ge 2.89-3.02, 2 Be 3.00
Pm: 0.0000 0.2148 0.3270 x4  5 Ge 2.93-3.09, 1 Be 3.29
Be: 0.0000 0.4080 0.1438 x4  3 Ge 2.37-2.57
Ge: 0.0000 0.1601 0.7142 x4  2 Be 2.37
Ge: 0.0000 0.4322 0.7933 x4  2 Be 2.57-2.71

---

DOS at the Fermi energy (computed, states/eV per cell): 40.66; 15.30; 39.31; 5.47; 12.10; 0.92; 5.41; 6.64; 63.34; 2.62; 2.21; 6.25; 56.75; 11.57; 10.16; 3.33; 9.33; 4.47; 1.76; 5.86; 41.99; 0.00; 3.49